Entry 1:
The following is a DFT calculation (PBE-GGA) of a relaxed KReIr crystal.

Geometry as CIF:
```
data_KReIr
_symmetry_space_group_name_H-M 'F -4 3 m'
_symmetry_Int_Tables_number 216
_symmetry_space_group_name_Hall 'F -4 2 3'
_cell_length_a 6.254
_cell_length_b 6.254
_cell_length_c 6.254
_cell_angle_alpha 90.00
_cell_angle_beta 90.00
_cell_angle_gamma 90.00
loop_
_atom_site_label
_atom_site_fract_x
_atom_site_fract_y
_atom_site_fract_z
_atom_site_occupancy
K1 0.000 0.000 0.000 1
Re1 0.250 0.250 0.250 1
Ir1 0.000 0.000 0.500 1
```

Summary:
Formation energy (meV per atom): 1686
DOS at the Fermi energy (states/eV/cell): 9.89
Crystal system: cubic



Entry 2:
The following is a DFT calculation (PBE-GGA) of a relaxed KRe2Ir crystal.

Geometry as CIF:
```
data_KRe2Ir
_symmetry_space_group_name_H-M 'P 4 m m'
_symmetry_Int_Tables_number 99
_symmetry_space_group_name_Hall 'P 4 -2'
_cell_length_a 2.802
_cell_length_b 2.802
_cell_length_c 9.514
_cell_angle_alpha 90.00
_cell_angle_beta 90.00
_cell_angle_gamma 90.00
loop_
_atom_site_label
_atom_site_fract_x
_atom_site_fract_y
_atom_site_fract_z
_atom_site_occupancy
K1 0.000 0.000 0.000 1
Re1 0.000 0.000 0.525 1
Re2 0.500 0.500 0.326 1
Ir1 0.500 0.500 0.710 1
```

Summary:
Formation energy (meV per atom): 663
DOS at the Fermi energy (states/eV/cell): 5.59
Crystal system: tetragonal



Entry 3:
The following is a DFT calculation (PBE-GGA) of a relaxed KReIr2 crystal.

Geometry as CIF:
```
data_KReIr2
_symmetry_space_group_name_H-M 'C 1 2/m 1'
_symmetry_Int_Tables_number 12
_symmetry_space_group_name_Hall '-C 2y'
_cell_length_a 8.597
_cell_length_b 2.731
_cell_length_c 7.354
_cell_angle_alpha 90.00
_cell_angle_beta 94.47
_cell_angle_gamma 90.00
loop_
_atom_site_label
_atom_site_fract_x
_atom_site_fract_y
_atom_site_fract_z
_atom_site_occupancy
K1 0.000 0.000 0.000 1
Re1 0.000 0.500 0.500 1
Ir1 0.236 0.000 0.653 1
```

Summary:
Formation energy (meV per atom): 614
DOS at the Fermi energy (states/eV/cell): 7.22
Crystal system: monoclinic



Entry 4:
The following is a DFT calculation (PBE-GGA) of a relaxed KReIr2 crystal.

Geometry as CIF:
```
data_KReIr2
_symmetry_space_group_name_H-M 'P 4/m m m'
_symmetry_Int_Tables_number 123
_symmetry_space_group_name_Hall '-P 4 2'
_cell_length_a 5.028
_cell_length_b 5.028
_cell_length_c 2.709
_cell_angle_alpha 90.00
_cell_angle_beta 90.00
_cell_angle_gamma 90.00
loop_
_atom_site_label
_atom_site_fract_x
_atom_site_fract_y
_atom_site_fract_z
_atom_site_occupancy
K1 0.000 0.000 0.000 1
Re1 0.500 0.500 0.000 1
Ir1 0.000 0.500 0.500 1
```

Summary:
Formation energy (meV per atom): 1108
DOS at the Fermi energy (states/eV/cell): 6.51
Crystal system: tetragonal



Entry 5:
The following is a DFT calculation (PBE-GGA) of a relaxed KReIr2 crystal.

Geometry as CIF:
```
data_KReIr2
_symmetry_space_group_name_H-M 'R -3 m'
_symmetry_Int_Tables_number 166
_symmetry_space_group_name_Hall '-R 3 2"'
_cell_length_a 2.8258
_cell_length_b 2.8258
_cell_length_c 30.1989
_cell_angle_alpha 90.00
_cell_angle_beta 90.00
_cell_angle_gamma 120.00
loop_
_atom_site_label
_atom_site_fract_x
_atom_site_fract_y
_atom_site_fract_z
_atom_site_occupancy
K1 0.0000 0.0000 0.0000 1
Re1 0.0000 0.0000 0.5000 1
Ir1 0.0000 0.0000 0.2366 1
```

Summary:
Formation energy (meV per atom): 475
DOS at the Fermi energy (states/eV/cell): 16.19
Crystal system: trigonal



Entry 6:
The following is a DFT calculation (PBE-GGA) of a relaxed KReIr2 crystal.

Geometry as CIF:
```
data_KReIr2
_symmetry_space_group_name_H-M 'C m m m'
_symmetry_Int_Tables_number 65
_symmetry_space_group_name_Hall '-C 2 2'
_cell_length_a 6.080
_cell_length_b 8.147
_cell_length_c 2.713
_cell_angle_alpha 90.00
_cell_angle_beta 90.00
_cell_angle_gamma 90.00
loop_
_atom_site_label
_atom_site_fract_x
_atom_site_fract_y
_atom_site_fract_z
_atom_site_occupancy
K1 0.000 0.000 0.000 1
Re1 0.000 0.500 0.000 1
Ir1 0.250 0.250 0.500 1
```

Summary:
Formation energy (meV per atom): 1031
DOS at the Fermi energy (states/eV/cell): 9.31
Crystal system: orthorhombic



Entry 7:
The following is a DFT calculation (PBE-GGA) of a relaxed KReIr2 crystal.

Geometry as CIF:
```
data_KReIr2
_symmetry_space_group_name_H-M 'C m m m'
_symmetry_Int_Tables_number 65
_symmetry_space_group_name_Hall '-C 2 2'
_cell_length_a 2.859
_cell_length_b 4.731
_cell_length_c 10.182
_cell_angle_alpha 90.00
_cell_angle_beta 90.00
_cell_angle_gamma 90.00
loop_
_atom_site_label
_atom_site_fract_x
_atom_site_fract_y
_atom_site_fract_z
_atom_site_occupancy
K1 0.000 0.000 0.000 1
Re1 0.000 0.000 0.500 1
Ir1 0.000 0.500 0.281 1
```

Summary:
Formation energy (meV per atom): 631
DOS at the Fermi energy (states/eV/cell): 6.53
Crystal system: orthorhombic



Entry 8:
The following is a DFT calculation (PBE-GGA) of a relaxed KReIr2 crystal.

Geometry as CIF:
```
data_KReIr2
_symmetry_space_group_name_H-M 'I -4 m 2'
_symmetry_Int_Tables_number 119
_symmetry_space_group_name_Hall 'I -4 -2'
_cell_length_a 4.119
_cell_length_b 4.119
_cell_length_c 7.928
_cell_angle_alpha 90.00
_cell_angle_beta 90.00
_cell_angle_gamma 90.00
loop_
_atom_site_label
_atom_site_fract_x
_atom_site_fract_y
_atom_site_fract_z
_atom_site_occupancy
K1 0.000 0.000 0.000 1
Re1 0.000 0.500 0.750 1
Ir1 0.000 0.000 0.500 1
Ir2 0.000 0.500 0.250 1
```

Summary:
Formation energy (meV per atom): 1443
DOS at the Fermi energy (states/eV/cell): 10.86
Crystal system: tetragonal



Entry 9:
The following is a DFT calculation (PBE-GGA) of a relaxed KReIr2 crystal.

Geometry as CIF:
```
data_KReIr2
_symmetry_space_group_name_H-M 'I m m 2'
_symmetry_Int_Tables_number 44
_symmetry_space_group_name_Hall 'I 2 -2'
_cell_length_a 2.725
_cell_length_b 4.956
_cell_length_c 10.581
_cell_angle_alpha 90.00
_cell_angle_beta 90.00
_cell_angle_gamma 90.00
loop_
_atom_site_label
_atom_site_fract_x
_atom_site_fract_y
_atom_site_fract_z
_atom_site_occupancy
K1 0.000 0.000 0.000 1
Re1 0.000 0.500 0.785 1
Ir1 0.000 0.000 0.490 1
Ir2 0.000 0.500 0.215 1
```

Summary:
Formation energy (meV per atom): 804
DOS at the Fermi energy (states/eV/cell): 7.01
Crystal system: orthorhombic



Entry 10:
The following is a DFT calculation (PBE-GGA) of a relaxed KRe2Ir crystal.

Geometry as CIF:
```
data_KRe2Ir
_symmetry_space_group_name_H-M 'C 1 2/m 1'
_symmetry_Int_Tables_number 12
_symmetry_space_group_name_Hall '-C 2y'
_cell_length_a 5.500
_cell_length_b 9.735
_cell_length_c 2.651
_cell_angle_alpha 90.00
_cell_angle_beta 107.02
_cell_angle_gamma 90.00
loop_
_atom_site_label
_atom_site_fract_x
_atom_site_fract_y
_atom_site_fract_z
_atom_site_occupancy
K1 0.000 0.000 0.000 1
Re1 0.250 0.250 0.500 1
Ir1 0.000 0.500 0.000 1
```

Summary:
Formation energy (meV per atom): 1371
DOS at the Fermi energy (states/eV/cell): 10.29
Crystal system: monoclinic



Entry 11:
The following is a DFT calculation (PBE-GGA) of a relaxed KRe2Ir crystal.

Geometry as CIF:
```
data_KRe2Ir
_symmetry_space_group_name_H-M 'P 1 2/m 1'
_symmetry_Int_Tables_number 10
_symmetry_space_group_name_Hall '-P 2y'
_cell_length_a 2.673
_cell_length_b 3.900
_cell_length_c 8.210
_cell_angle_alpha 90.00
_cell_angle_beta 90.52
_cell_angle_gamma 90.00
loop_
_atom_site_label
_atom_site_fract_x
_atom_site_fract_y
_atom_site_fract_z
_atom_site_occupancy
K1 0.000 0.000 0.000 1
Re1 0.496 0.500 0.343 1
Ir1 0.000 0.000 0.500 1
```

Summary:
Formation energy (meV per atom): 893
DOS at the Fermi energy (states/eV/cell): 4.65
Crystal system: monoclinic



Entry 12:
The following is a DFT calculation (PBE-GGA) of a relaxed KReIr crystal.

Geometry as CIF:
```
data_KReIr
_symmetry_space_group_name_H-M 'F -4 3 m'
_symmetry_Int_Tables_number 216
_symmetry_space_group_name_Hall 'F -4 2 3'
_cell_length_a 6.472
_cell_length_b 6.472
_cell_length_c 6.472
_cell_angle_alpha 90.00
_cell_angle_beta 90.00
_cell_angle_gamma 90.00
loop_
_atom_site_label
_atom_site_fract_x
_atom_site_fract_y
_atom_site_fract_z
_atom_site_occupancy
K1 0.000 0.000 0.000 1
Re1 0.250 0.250 0.250 1
Ir1 0.250 0.250 0.750 1
```

Summary:
Formation energy (meV per atom): 3101
DOS at the Fermi energy (states/eV/cell): 17.62
Crystal system: cubic